Here is a geometry-optimized Pm8Hg4CS3 structure from Alexandria. Energies are from PBE-GGA.

a b c (Å): 7.9330 7.9330 23.1880
angles (deg): 90.00 90.00 120.00
Space group R-3m (No. 166, hexagonal axes)
Inequivalent atoms, fractional coordinates:
Pm 0.0000 0.0000 0.2368
Pm 0.0241 0.5121 0.2330
Hg 0.0000 0.0000 0.0000
Hg 0.0000 0.5000 0.0000
C 0.0000 0.0000 0.5000
S 0.0000 0.5000 0.5000

Formation energy without anion corrections = -1.00 eV/atom
DOS at the Fermi energy = 0.512 states/eV per atom



Here is a geometry-optimized Pm4HgSbC structure from Alexandria. Energies are from PBE-GGA.

a b c (Å): 7.0548 15.9015 7.0467
angles (deg): 90.00 90.00 90.00
Space group Cmcm (No. 63)
Inequivalent atoms, fractional coordinates:
Pm 0.0000 0.0830 0.2500
Pm 0.0000 0.4113 0.2500
Pm 0.2500 0.2500 0.0000
Hg 0.0000 0.1153 0.7500
Sb 0.0000 0.3879 0.7500
C 0.0000 0.2503 0.2500

Formation energy without anion corrections = -0.52 eV/atom
DOS at the Fermi energy = 0.589 states/eV per atom



Here is a geometry-optimized Pm2ScHgC structure from Alexandria. Energies are from PBE-GGA.

a b c (Å): 5.1664 5.1664 4.4463
angles (deg): 90.00 90.00 90.00
Space group P4/mmm (No. 123)
Inequivalent atoms, fractional coordinates:
Pm 0.0000 0.5000 0.0000
Sc 0.0000 0.0000 0.5000
Hg 0.5000 0.5000 0.5000
C 0.0000 0.0000 0.0000

Total DFT energy (no corrections) = -5.43 eV/atom
DOS at the Fermi energy = 0.545 states/eV per atom



Here is a geometry-optimized Pm4SnHgC structure from Alexandria. Energies are from PBE-GGA.

a b c (Å): 7.1934 15.4302 7.1846
angles (deg): 90.00 90.00 90.00
Space group Cmcm (No. 63)
Inequivalent atoms, fractional coordinates:
Pm 0.0000 0.0819 0.2500
Pm 0.0000 0.4134 0.2500
Pm 0.2500 0.2500 0.0000
Sn 0.0000 0.3807 0.7500
Hg 0.0000 0.1181 0.7500
C 0.0000 0.2494 0.2500

Total DFT energy (no corrections) = -5.06 eV/atom
DOS at the Fermi energy = 0.308 states/eV per atom



Here is a geometry-optimized Tb2PmHgC structure from Alexandria. Energies are from PBE-GGA.

a b c (Å): 4.9161 4.9161 5.0956
angles (deg): 90.00 90.00 90.00
Space group P4/mmm (No. 123)
Inequivalent atoms, fractional coordinates:
Tb 0.0000 0.5000 0.0000
Pm 0.0000 0.0000 0.5000
Hg 0.5000 0.5000 0.5000
C 0.0000 0.0000 0.0000

Total DFT energy (no corrections) = -5.02 eV/atom
DOS at the Fermi energy = 1.312 states/eV per atom



Here is a geometry-optimized Pm3TmHg2C structure from Alexandria. Energies are from PBE-GGA.

a b c (Å): 4.8446 5.1116 15.2059
angles (deg): 90.00 90.00 90.00
Space group Immm (No. 71)
Inequivalent atoms, fractional coordinates:
Pm 0.0000 0.0000 0.0000
Pm 0.0000 0.5000 0.1674
Tm 0.0000 0.0000 0.5000
Hg 0.0000 0.5000 0.3704
C 0.0000 0.5000 0.0000

Total DFT energy (no corrections) = -4.41 eV/atom
DOS at the Fermi energy = 0.956 states/eV per atom



Here is a geometry-optimized Pm2TmHgC structure from Alexandria. Energies are from PBE-GGA.

a b c (Å): 5.1147 5.1147 4.7510
angles (deg): 90.00 90.00 90.00
Space group P4/mmm (No. 123)
Inequivalent atoms, fractional coordinates:
Pm 0.0000 0.5000 0.0000
Tm 0.0000 0.0000 0.5000
Hg 0.5000 0.5000 0.5000
C 0.0000 0.0000 0.0000

Total DFT energy (no corrections) = -5.00 eV/atom
DOS at the Fermi energy = 0.966 states/eV per atom



Here is a geometry-optimized PmY2HgC structure from Alexandria. Energies are from PBE-GGA.

a b c (Å): 4.8940 4.8940 5.1199
angles (deg): 90.00 90.00 90.00
Space group P4/mmm (No. 123)
Inequivalent atoms, fractional coordinates:
Pm 0.0000 0.0000 0.0000
Y 0.0000 0.5000 0.5000
Hg 0.5000 0.5000 0.0000
C 0.0000 0.0000 0.5000

Total DFT energy (no corrections) = -5.78 eV/atom
DOS at the Fermi energy = 1.312 states/eV per atom